# 1
Crystalline LaZn2Mo at its relaxed geometry. Source: Alexandria, functional PBEsol.

a = 4.766 Å, b = 4.766 Å, c = 4.766 Å
α = 60.00°, β = 60.00°, γ = 60.00°
Site moments in Bohr magnetons follow the coordinates.
Positions (direct):
1 Zn 0.250 0.250 0.250  -0.01
2 Zn 0.750 0.750 0.750  -0.01
3 La 0.000 0.000 0.000  -0.02
4 Mo 0.500 0.500 0.500  1.21

## Properties
The energy above the most stable polymorph in this dataset comes out at 0 meV per atom. The calculation puts the energy relative to the elements at 320 meV per atom. The space-group type is Fm-3m.



# 2
Crystalline Zr2ScAu at its relaxed geometry. Source: Alexandria, functional PBEsol.

a = 3.572 Å, b = 4.563 Å, c = 5.732 Å
α = 113.45°, β = 108.16°, γ = 90.00°
Positions (direct):
1 Au 0.000 0.500 0.000
2 Sc 0.500 0.000 0.000
3 Zr 0.261 0.261 0.521
4 Zr 0.739 0.739 0.479

## Properties
The calculation puts the energy relative to the elements at -356 meV per atom. The space-group type is Immm.



# 3
Crystalline CsBaAs2N at its relaxed geometry. Source: Alexandria, functional PBEsol.

a = 5.611 Å, b = 5.611 Å, c = 6.478 Å
α = 90.00°, β = 90.00°, γ = 90.00°
Site moments in Bohr magnetons follow the coordinates.
Positions (direct):
1 N 0.500 0.500 0.500  1.61
2 As 0.000 0.500 0.000  0.07
3 As 0.500 0.000 0.000  0.07
4 Cs 0.000 0.000 0.000  0.02
5 Ba 0.000 0.000 0.500  -0.02

## Properties
For the formation energy from raw total energies, the calculation gives 1.827 eV/atom. The space-group type is P4/mmm.



# 4
Crystalline SrBe3Ni at its relaxed geometry. Source: Alexandria, functional PBEsol.

a = 4.212 Å, b = 4.212 Å, c = 4.212 Å
α = 90.00°, β = 90.00°, γ = 90.00°
Positions (direct):
1 Sr 0.500 0.500 0.500
2 Be 0.000 0.500 0.000
3 Be 0.000 0.000 0.500
4 Be 0.500 0.000 0.000
5 Ni 0.000 0.000 0.000

## Properties
The calculation puts the energy relative to the elements at 138 meV per atom. The space-group type is Pm-3m.



# 5
Crystalline LiSnH2Au at its relaxed geometry. Source: Alexandria, functional PBEsol.

a = 3.710 Å, b = 3.710 Å, c = 5.828 Å
α = 90.00°, β = 90.00°, γ = 90.00°
Positions (direct):
1 H 0.000 0.500 0.000
2 H 0.500 0.000 0.000
3 Sn 0.000 0.000 0.000
4 Li 0.000 0.000 0.500
5 Au 0.500 0.500 0.500

## Properties
The space-group type is P4/mmm.



# 6
Crystalline FeBRh3 at its relaxed geometry. Source: Alexandria, functional PBEsol.

a = 4.002 Å, b = 4.002 Å, c = 4.002 Å
α = 90.00°, β = 90.00°, γ = 90.00°
Site moments in Bohr magnetons follow the coordinates.
Positions (direct):
1 Rh 0.500 0.000 0.000  0.57
2 Rh 0.000 0.000 0.500  0.57
3 Rh 0.000 0.500 0.000  0.57
4 B 0.000 0.000 0.000  0.01
5 Fe 0.500 0.500 0.500  3.50

## Properties
The energy above the most stable polymorph in this dataset comes out at 0 meV per atom. The calculation puts the energy relative to the elements at 25 meV per atom. The space-group type is Pm-3m.



# 7
Crystalline HPtRhBr2 at its relaxed geometry. Source: Alexandria, functional PBEsol.

a = 3.423 Å, b = 4.698 Å, c = 4.698 Å
α = 90.00°, β = 90.00°, γ = 90.00°
Positions (direct):
1 Rh 0.500 0.500 0.500
2 Pt 0.500 0.000 0.000
3 Br 0.000 0.000 0.500
4 Br 0.000 0.500 0.000
5 H 0.000 0.000 0.000

## Properties
The space-group type is P4/mmm.



# 8
Crystalline FePRh2 at its relaxed geometry. Source: Alexandria, functional PBEsol.

a = 4.138 Å, b = 4.138 Å, c = 4.138 Å
α = 60.00°, β = 60.00°, γ = 60.00°
Site moments in Bohr magnetons follow the coordinates.
Positions (direct):
1 Rh 0.000 0.000 0.000  0.16
2 Rh 0.250 0.250 0.250  0.23
3 P 0.750 0.750 0.750  -0.01
4 Fe 0.500 0.500 0.500  2.23

## Properties
The calculation puts the energy relative to the elements at -7 meV per atom. The space-group type is F-43m.



# 9
Crystalline LaCdAsSe2 at its relaxed geometry. Source: Alexandria, functional PBEsol.

a = 5.003 Å, b = 5.116 Å, c = 5.116 Å
α = 90.00°, β = 90.00°, γ = 90.00°
Positions (direct):
1 Cd 0.000 0.000 0.000
2 Se 0.000 0.000 0.500
3 Se 0.000 0.500 0.000
4 As 0.500 0.000 0.000
5 La 0.500 0.500 0.500

## Properties
For the formation energy from raw total energies, the calculation gives -0.371 eV/atom. The space-group type is P4/mmm.



# 10
Crystalline Li2CaFe at its relaxed geometry. Source: Alexandria, functional PBEsol.

a = 3.459 Å, b = 4.643 Å, c = 4.990 Å
α = 90.00°, β = 90.00°, γ = 90.00°
Site moments in Bohr magnetons follow the coordinates.
Positions (direct):
1 Fe 0.000 0.500 0.500  2.67
2 Li 0.000 0.000 0.000  -0.01
3 Li 0.500 0.500 0.000  -0.01
4 Ca 0.500 0.000 0.500  -0.08

## Properties
The energy above the most stable polymorph in this dataset comes out at 31 meV per atom. The calculation puts the energy relative to the elements at 513 meV per atom. The space-group type is Pmmm.



# 11
Crystalline Sr2CuBr at its relaxed geometry. Source: Alexandria, functional PBEsol.

a = 4.367 Å, b = 4.367 Å, c = 7.170 Å
α = 107.73°, β = 107.73°, γ = 90.00°
Positions (direct):
1 Sr 0.750 0.250 0.500
2 Sr 0.000 0.000 0.000
3 Cu 0.250 0.750 0.500
4 Br 0.500 0.500 0.000

## Properties
For the formation energy from raw total energies, the calculation gives -0.466 eV/atom. The energy above the most stable polymorph in this dataset comes out at 265 meV per atom. The space-group type is I-4m2.



# 12
Crystalline CoMo2Pt at its relaxed geometry. Source: Alexandria, functional PBEsol.

a = 2.707 Å, b = 2.707 Å, c = 9.013 Å
α = 81.36°, β = 81.36°, γ = 60.00°
Site moments in Bohr magnetons follow the coordinates.
Positions (direct):
1 Pt 0.496 0.496 0.511  0.01
2 Mo 0.248 0.248 0.255  -0.02
3 Mo 0.007 0.007 0.979  -0.08
4 Co 0.749 0.749 0.754  0.84

## Properties
The energy above the most stable polymorph in this dataset comes out at 281 meV per atom. The calculation puts the energy relative to the elements at 120 meV per atom. The space-group type is R3m.



# 13
Crystalline Cr2FeTc at its relaxed geometry. Source: Alexandria, functional PBEsol.

a = 2.556 Å, b = 2.556 Å, c = 8.429 Å
α = 81.28°, β = 81.28°, γ = 60.00°
Positions (direct):
1 Tc 0.500 0.500 0.500
2 Cr 0.745 0.745 0.766
3 Cr 0.255 0.255 0.234
4 Fe 0.000 0.000 0.000

## Properties
The energy above the most stable polymorph in this dataset comes out at 145 meV per atom. The calculation puts the energy relative to the elements at 262 meV per atom. The space-group type is R-3m.



# 14
Crystalline Sc3ZnN at its relaxed geometry. Source: Alexandria, functional PBEsol.

a = 6.135 Å, b = 6.135 Å, c = 6.149 Å
α = 60.08°, β = 60.08°, γ = 60.00°
Positions (direct):
1 Sc 0.750 0.200 0.750
2 Sc 0.200 0.300 0.750
3 Sc 0.250 0.800 0.250
4 Sc 0.300 0.750 0.750
5 Sc 0.800 0.700 0.250
6 Sc 0.700 0.250 0.250
7 N 0.500 0.500 0.500
8 N 0.000 0.000 0.000
9 Zn 0.750 0.750 0.750
10 Zn 0.250 0.250 0.250

## Properties
For the formation energy from raw total energies, the calculation gives -1.069 eV/atom. The space-group type is R-3c.



# 15
Crystalline ZnH2SeBr at its relaxed geometry. Source: Alexandria, functional PBEsol.

a = 3.713 Å, b = 3.713 Å, c = 5.814 Å
α = 90.00°, β = 90.00°, γ = 90.00°
Positions (direct):
1 Se 0.500 0.500 0.500
2 Br 0.000 0.000 0.500
3 H 0.000 0.500 0.000
4 H 0.500 0.000 0.000
5 Zn 0.000 0.000 0.000

## Properties
The space-group type is P4/mmm.



# 16
Crystalline TaInFe2 at its relaxed geometry. Source: Alexandria, functional PBEsol.

a = 4.384 Å, b = 4.384 Å, c = 4.384 Å
α = 60.00°, β = 60.00°, γ = 60.00°
Site moments in Bohr magnetons follow the coordinates.
Positions (direct):
1 Fe 0.000 0.000 0.000  2.11
2 Fe 0.250 0.250 0.250  2.33
3 In 0.500 0.500 0.500  -0.03
4 Ta 0.750 0.750 0.750  -0.30

## Properties
The calculation puts the energy relative to the elements at 332 meV per atom. The space-group type is F-43m.



# 17
Crystalline TiP2PbO8 at its relaxed geometry. Source: Alexandria, functional PBEsol.

a = 5.183 Å, b = 8.254 Å, c = 8.730 Å
α = 115.37°, β = 107.27°, γ = 90.00°
Positions (direct):
1 P 0.380 0.257 0.287
2 P 0.620 0.743 0.713
3 P 0.907 0.757 0.287
4 P 0.093 0.243 0.713
5 O 0.342 0.110 0.097
6 O 0.016 0.314 0.572
7 O 0.556 0.814 0.572
8 O 0.119 0.349 0.293
9 O 0.881 0.651 0.707
10 O 0.714 0.903 0.338
11 O 0.174 0.849 0.293
12 O 0.623 0.403 0.338
13 O 0.984 0.686 0.428
14 O 0.658 0.890 0.903
15 O 0.444 0.186 0.428
16 O 0.826 0.151 0.707
17 O 0.286 0.097 0.662
18 O 0.244 0.390 0.903
19 O 0.756 0.610 0.097
20 O 0.377 0.597 0.662
21 Pb 0.340 0.750 0.000
22 Pb 0.660 0.250 0.000
23 Ti 0.500 0.000 0.500
24 Ti 0.000 0.500 0.500

## Properties
For the formation energy from raw total energies, the calculation gives -2.356 eV/atom. The space-group type is C2/c.



# 18
Crystalline Ca2CdSe at its relaxed geometry. Source: Alexandria, functional PBEsol.

a = 3.703 Å, b = 3.703 Å, c = 7.217 Å
α = 90.00°, β = 90.00°, γ = 90.00°
Positions (direct):
1 Cd 0.500 0.500 0.500
2 Se 0.500 0.500 0.000
3 Ca 0.000 0.000 0.236
4 Ca 0.000 0.000 0.764

## Properties
For the formation energy from raw total energies, the calculation gives -1.000 eV/atom. The energy above the most stable polymorph in this dataset comes out at 0 meV per atom. The space-group type is P4/mmm.



# 19
Crystalline LiInPt2 at its relaxed geometry. Source: Alexandria, functional PBEsol.

a = 2.913 Å, b = 4.522 Å, c = 4.710 Å
α = 90.00°, β = 90.00°, γ = 90.00°
Positions (direct):
1 In 0.500 0.000 0.562
2 Pt 0.000 0.000 0.071
3 Pt 0.000 0.500 0.694
4 Li 0.500 0.500 0.172

## Properties
The calculation puts the energy relative to the elements at -497 meV per atom. The space-group type is Pmm2.



# 20
Crystalline MnTcN2O at its relaxed geometry. Source: Alexandria, functional PBEsol.

a = 3.584 Å, b = 3.622 Å, c = 3.622 Å
α = 90.00°, β = 90.00°, γ = 90.00°
Site moments in Bohr magnetons follow the coordinates.
Positions (direct):
1 Tc 0.500 0.500 0.500  1.79
2 O 0.500 0.000 0.000  0.07
3 Mn 0.000 0.000 0.000  1.17
4 N 0.000 0.500 0.000  -0.14
5 N 0.000 0.000 0.500  -0.14

## Properties
For the formation energy from raw total energies, the calculation gives 0.500 eV/atom. The space-group type is P4/mmm.



Number 1: total moment 1.25 μB/f.u., energy -4.749 eV/atom. Number 2: total moment 0.00 μB/f.u., energy -7.533 eV/atom. Number 3: total moment 2.65 μB/f.u., energy -2.539 eV/atom. Number 4: total moment 0.00 μB/f.u., energy -3.862 eV/atom. Number 5: total moment 0.00 μB/f.u., energy -2.996 eV/atom. Number 6: total moment 5.26 μB/f.u., energy -8.054 eV/atom. Number 7: total moment 0.00 μB/f.u., energy -3.666 eV/atom. Number 8: total moment 2.58 μB/f.u., energy -7.765 eV/atom. Number 9: total moment 0.00 μB/f.u., energy -4.241 eV/atom. Number 10: total moment 2.41 μB/f.u., energy -3.245 eV/atom. Number 11: total moment 0.00 μB/f.u., energy -2.937 eV/atom. Number 12: total moment 0.74 μB/f.u., energy -9.439 eV/atom. Number 13: total moment 0.00 μB/f.u., energy -9.917 eV/atom. Number 14: total moment 0.00 μB/f.u., energy -7.054 eV/atom. Number 15: total moment 0.00 μB/f.u., energy -2.378 eV/atom. Number 16: total moment 4.02 μB/f.u., energy -8.033 eV/atom. Number 17: total moment 0.00 μB/f.u., energy -7.848 eV/atom. Number 18: total moment 0.00 μB/f.u., energy -3.329 eV/atom. Number 19: total moment 0.00 μB/f.u., energy -5.216 eV/atom. Number 20: total moment 2.79 μB/f.u., energy -8.166 eV/atom.